# Dy4PI5

A relaxed Dy4PI5 crystal (PBE, Alexandria via LeMat-Bulk).

a = 4.1212 Å, b = 8.7071 Å, c = 9.7283 Å
α = 102.41°, β = 102.23°, γ = 90.00°
Last column: nearest neighbours and their distance in Å.
Positions (direct):
I (0.5000, 0.5000, 0.0000)  4 Dy 3.30
I (0.1650, 0.3382, 0.3300)  3 Dy 3.07-3.11
I (0.1709, 0.8264, 0.3417)  3 Dy 3.10-3.19
I (0.8291, 0.1736, 0.6583)  3 Dy 3.10-3.19
I (0.8350, 0.6618, 0.6700)  3 Dy 3.07-3.11
P (0.5000, 0.0000, 0.0000)  6 Dy 2.63-2.72
Dy (0.6417, 0.0711, 0.2833)  1 P 2.63
Dy (0.9993, 0.2041, 0.9987)  2 P 2.72
Dy (0.0007, 0.7959, 0.0013)  2 P 2.72
Dy (0.3583, 0.9289, 0.7167)  1 P 2.63

Computed properties:
energy relative to the elements, uncorrected = -1.3152 eV/atom
total energy = -4.47 eV per atom
D(E_F) = 0.313 states/eV/atom
size of the total moment = 0.00 μB/atom